Entry from Alexandria via LeMat-Bulk: a relaxed TlPb4F8 crystal (PBE).

```
TlPb4F8
1.0
6.235 0.000 0.000
0.000 6.235 0.000
0.000 0.000 6.235
Tl Pb F
1 4 8
direct
0.000 0.000 0.000
0.000 0.000 0.500
0.000 0.500 0.000
0.500 0.000 0.000
0.500 0.500 0.500
0.259 0.259 0.259
0.259 0.259 0.741
0.259 0.741 0.259
0.259 0.741 0.741
0.741 0.259 0.259
0.741 0.259 0.741
0.741 0.741 0.259
0.741 0.741 0.741
```

Properties
Raw formation energy   -2.0004 eV/atom
Polymorph energy (0 for the lowest one)   14 meV per atom
Magnetic moment   0.000 μB/atom
Fermi-level density of states   2.4 states/eV/f.u.
Space group   Pm-3m

***

Entry from Alexandria via LeMat-Bulk: a relaxed Tl2Pb4F crystal (PBE).

```
Tl2Pb4F
1.0
-2.525 2.525 8.385
2.525 -2.525 8.385
2.525 2.525 -8.385
Tl Pb F
2 4 1
direct
0.141 0.141 0.000
0.859 0.859 0.000
0.000 0.500 0.500
0.330 0.330 0.000
0.500 0.000 0.500
0.670 0.670 0.000
0.500 0.500 0.000
```

Properties
Raw formation energy   -0.2635 eV/atom
Magnetic moment   0.000 μB/atom
Fermi-level density of states   3.7 states/eV/f.u.
Space group   I4/mmm

***

Entry from Alexandria via LeMat-Bulk: a relaxed Tl3PbF crystal (PBE).

```
Tl3PbF
1.0
6.205 0.000 0.000
0.000 6.205 0.000
0.000 0.000 6.205
Tl Pb F
3 1 1
direct
0.000 0.000 0.500
0.000 0.500 0.000
0.500 0.000 0.000
0.000 0.000 0.000
0.500 0.500 0.500
```

Properties
Raw formation energy   -0.0465 eV/atom
Polymorph energy (0 for the lowest one)   496 meV per atom
Magnetic moment   0.000 μB/atom
Fermi-level density of states   2.8 states/eV/f.u.
Space group   Pm-3m

***

Look up the raw formation energy of the second one.
-0.2635 eV/atom